ZnPRhCl2 | Alexandria | PBE | optimized geometry; raw formation energy = 3.37 eV/f.u.; symmetry = No. 123; ΔE to the lowest computed polymorph = 548 meV per atom
1.0
4.636 0.000 0.000
0.000 4.636 0.000
0.000 0.000 4.966
Zn P Rh Cl
1 1 1 2
Cartesian
0.000 0.000 0.000 Zn
0.000 0.000 2.483 P
2.318 2.318 2.483 Rh
0.000 2.318 0.000 Cl
2.318 0.000 0.000 Cl